{"formula": "CePmCu", "functional": "PBE-GGA", "state": "relaxed", "formation_enthalpy_0k_ev_per_atom": 0.107, "e_tot_ev_per_atom": -4.820, "lattice_angstrom": [[-0.891, -2.335, 2.654], [3.781, 1.407, 2.507], [-4.168, 2.211, 0.546]], "species": ["Pm", "Cu", "Ce"], "frac_coords": [[0.659, 0.667, 0.333], [0.320, 0.333, 0.667], [0.021, 0.000, 0.000]]}

{"formula": "TmSbTe2", "functional": "PBE-GGA", "state": "relaxed", "e_tot_ev_per_atom": -4.122, "formation_energy_uncorrected_ev_per_atom": -0.403, "lattice_angstrom": [[5.579, 0.000, 0.000], [2.789, 4.832, 0.000], [2.789, 1.611, 4.177]], "species": ["Sb", "Te", "Te", "Tm"], "frac_coords": [[0.500, 0.500, 0.500], [0.262, 0.262, 0.215], [0.738, 0.738, 0.785], [0.000, 0.000, 0.000]]}

{"formula": "Sm6Bi5Se", "functional": "PBE-GGA", "state": "relaxed", "e_tot_ev_per_atom": -5.336, "formation_energy_uncorrected_ev_per_atom": -1.069, "lattice_angstrom": [[-1.544, 0.193, -7.636], [-5.464, -5.307, -1.684], [-7.538, 1.950, 0.246]], "species": ["Bi", "Bi", "Bi", "Bi", "Bi", "Se", "Sm", "Sm", "Sm", "Sm", "Sm", "Sm"], "frac_coords": [[0.000, 0.334, 0.332], [0.500, 0.171, 0.658], [0.000, 0.666, 0.668], [0.500, 0.829, 0.342], [0.500, 0.500, 0.000], [0.000, 0.000, 0.000], [0.249, 0.241, 0.000], [0.757, 0.081, 0.324], [0.243, 0.919, 0.676], [0.243, 0.595, 0.324], [0.757, 0.405, 0.676], [0.751, 0.759, 0.000]]}

{"formula": "GePdRhAu", "functional": "PBE-GGA", "state": "relaxed", "formation_enthalpy_0k_ev_per_atom": -0.149, "e_tot_ev_per_atom": -5.259, "lattice_angstrom": [[4.471, 0.000, 0.000], [2.236, 3.872, 0.000], [2.236, 1.291, 3.651]], "species": ["Ge", "Pd", "Rh", "Au"], "frac_coords": [[0.500, 0.500, 0.500], [0.250, 0.250, 0.250], [0.750, 0.750, 0.750], [0.000, 0.000, 0.000]]}